(1)
# Ag2Pt | Alexandria | SCAN | PBEsol geometry
# Energy of formation from the pure elements   0.00 eV per atom
# E above lowest polymorph   0.0079 eV/atom
data_Ag2Pt
_symmetry_space_group_name_H-M 'C 1 m 1'
_symmetry_Int_Tables_number 8
_cell_length_a 9.7523
_cell_length_b 5.6096
_cell_length_c 8.4696
_cell_angle_alpha 90.00
_cell_angle_beta 124.82
_cell_angle_gamma 90.00
loop_
_symmetry_equiv_pos_as_xyz
'x,y,z'
'x,-y,z'
'x+1/2,y+1/2,z'
'x+1/2,-y+1/2,z'
loop_
_atom_site_label
_atom_site_type_symbol
_atom_site_fract_x
_atom_site_fract_y
_atom_site_fract_z
Ag1 Ag 0.0000 0.0000 0.0000
Ag2 Ag 0.0046 0.5000 0.0054
Ag3 Ag 0.1684 0.0000 0.6650
Ag4 Ag 0.2511 0.2518 0.9962
Ag5 Ag 0.3321 0.0000 0.3302
Ag6 Ag 0.4198 0.2498 0.6669
Pt1 Pt 0.0852 0.2512 0.3361
Pt2 Pt 0.1673 0.5000 0.6606
Pt3 Pt 0.3342 0.5000 0.3300

***

(2)
# FeAsRuBr2 | Alexandria | SCAN | PBEsol geometry
# Total energy   -21.737 eV/atom
data_FeAsRuBr2
_symmetry_space_group_name_H-M 'P 4/m m m'
_symmetry_Int_Tables_number 123
_symmetry_space_group_name_Hall '-P 4 2'
_cell_length_a 5.0496
_cell_length_b 5.0496
_cell_length_c 4.5902
_cell_angle_alpha 90.00
_cell_angle_beta 90.00
_cell_angle_gamma 90.00
loop_
_atom_site_label
_atom_site_type_symbol
_atom_site_fract_x
_atom_site_fract_y
_atom_site_fract_z
Fe1 Fe 0.0000 0.0000 0.0000
As1 As 0.5000 0.5000 0.0000
Ru1 Ru 0.5000 0.5000 0.5000
Br1 Br 0.0000 0.5000 0.5000

***

(3)
# CsIn2Sb2 | Alexandria | SCAN | PBEsol geometry
# Total energy   -36.173 eV/atom
data_CsIn2Sb2
_symmetry_space_group_name_H-M 'I 4/m m m'
_symmetry_Int_Tables_number 139
_symmetry_space_group_name_Hall '-I 4 2'
_cell_length_a 4.9110
_cell_length_b 4.9110
_cell_length_c 14.8640
_cell_angle_alpha 90.00
_cell_angle_beta 90.00
_cell_angle_gamma 90.00
loop_
_atom_site_label
_atom_site_type_symbol
_atom_site_fract_x
_atom_site_fract_y
_atom_site_fract_z
Cs1 Cs 0.0000 0.0000 0.0000
In1 In 0.0000 0.5000 0.2500
Sb1 Sb 0.0000 0.0000 0.3618

***

(4)
# SrZrTa2 | Alexandria | SCAN | PBEsol geometry
# Energy of formation from the pure elements   0.96 eV per atom
# E above lowest polymorph   0.3695 eV/atom
data_SrZrTa2
_symmetry_space_group_name_H-M 'P 4/m m m'
_symmetry_Int_Tables_number 123
_symmetry_space_group_name_Hall '-P 4 2'
_cell_length_a 4.1656
_cell_length_b 4.1656
_cell_length_c 4.9882
_cell_angle_alpha 90.00
_cell_angle_beta 90.00
_cell_angle_gamma 90.00
loop_
_atom_site_label
_atom_site_type_symbol
_atom_site_fract_x
_atom_site_fract_y
_atom_site_fract_z
Sr1 Sr 0.0000 0.0000 0.0000
Zr1 Zr 0.5000 0.5000 0.0000
Ta1 Ta 0.0000 0.5000 0.5000